*i*
The following is a DFT calculation (PBE) of RbSiBPt2 after structural relaxation.

a b c (Å): 4.865 4.865 4.146
angles (deg): 90.00 90.00 90.00
Space group P4/mmm (No. 123)
Asymmetric unit:
Rb  0.000  0.000  0.000 (multiplicity 1)
Si  0.500  0.500  0.500 (multiplicity 1)
B  0.500  0.500  0.000 (multiplicity 1)
Pt  0.000  0.500  0.500 (multiplicity 2)



*ii*
The following is a DFT calculation (PBE) of RbSiBPt2 after structural relaxation.

a b c (Å): 4.406 4.406 4.680
angles (deg): 90.00 90.00 90.00
Space group P4/mmm (No. 123)
Asymmetric unit:
Rb  0.000  0.000  0.000 (multiplicity 1)
Si  0.500  0.500  0.000 (multiplicity 1)
B  0.500  0.500  0.500 (multiplicity 1)
Pt  0.000  0.500  0.500 (multiplicity 2)



The structure with the least stability is *i*.



*i*
The following is a DFT calculation (PBE) of B2PtRh2 after structural relaxation.

a b c (Å): 2.839 2.839 14.496
angles (deg): 90.00 90.00 90.00
Space group I4/mmm (No. 139)
Asymmetric unit:
B  0.000  0.500  0.250 (multiplicity 4)
Pt  0.000  0.000  0.000 (multiplicity 2)
Rh  0.000  0.000  0.358 (multiplicity 4)



*ii*
The following is a DFT calculation (PBE) of B2PtRh2 after structural relaxation.

a b c (Å): 6.373 6.373 2.747
angles (deg): 90.00 90.00 90.00
Space group P4/mbm (No. 127)
Asymmetric unit:
B  0.151  0.349  0.000 (multiplicity 4)
Pt  0.000  0.000  0.000 (multiplicity 2)
Rh  0.148  0.648  0.500 (multiplicity 4)



The structure with the least stability is *ii*.



*i*
The following is a DFT calculation (PBE) of ScBPt2Rh after structural relaxation.

a b c (Å): 4.247 4.247 4.134
angles (deg): 90.00 90.00 90.00
Space group P4/mmm (No. 123)
Asymmetric unit:
Sc  0.000  0.000  0.000 (multiplicity 1)
B  0.500  0.500  0.500 (multiplicity 1)
Pt  0.000  0.500  0.500 (multiplicity 2)
Rh  0.500  0.500  0.000 (multiplicity 1)



*ii*
The following is a DFT calculation (PBE) of ScBPt2Rh after structural relaxation.

a b c (Å): 4.919 4.919 4.608
angles (deg): 90.00 90.00 90.00
Space group P4/mmm (No. 123)
Asymmetric unit:
Sc  0.000  0.000  0.000 (multiplicity 1)
B  0.500  0.500  0.000 (multiplicity 1)
Pt  0.000  0.500  0.500 (multiplicity 2)
Rh  0.000  0.000  0.500 (multiplicity 1)



The structure with the least stability is *ii*.



*i*
The following is a DFT calculation (PBE) of SrBPt2Rh after structural relaxation.

a b c (Å): 4.123 4.123 5.247
angles (deg): 90.00 90.00 90.00
Space group P4/mmm (No. 123)
Asymmetric unit:
Sr  0.000  0.000  0.000 (multiplicity 1)
B  0.000  0.000  0.500 (multiplicity 1)
Pt  0.000  0.500  0.500 (multiplicity 2)
Rh  0.500  0.500  0.000 (multiplicity 1)



*ii*
The following is a DFT calculation (PBE) of SrBPt2Rh after structural relaxation.

a b c (Å): 4.358 4.358 4.319
angles (deg): 90.00 90.00 90.00
Space group P4/mmm (No. 123)
Asymmetric unit:
Sr  0.000  0.000  0.000 (multiplicity 1)
B  0.500  0.500  0.500 (multiplicity 1)
Pt  0.000  0.500  0.500 (multiplicity 2)
Rh  0.500  0.500  0.000 (multiplicity 1)



The structure with the least stability is *i*.



*i*
The following is a DFT calculation (PBE) of B3RuPt after structural relaxation.

a b c (Å): 4.040 4.040 4.040
angles (deg): 90.00 90.00 90.00
Space group Pm-3m (No. 221)
Asymmetric unit:
B  0.000  0.000  0.500 (multiplicity 3)
Ru  0.500  0.500  0.500 (multiplicity 1)
Pt  0.000  0.000  0.000 (multiplicity 1)



*ii*
The following is a DFT calculation (PBE) of B3RuPt after structural relaxation.

a b c (Å): 4.014 4.014 4.014
angles (deg): 90.00 90.00 90.00
Space group Pm-3m (No. 221)
Asymmetric unit:
B  0.000  0.000  0.500 (multiplicity 3)
Ru  0.000  0.000  0.000 (multiplicity 1)
Pt  0.500  0.500  0.500 (multiplicity 1)



The structure with the least stability is *i*.



*i*
The following is a DFT calculation (PBE) of B2RuPt2 after structural relaxation.

a b c (Å): 3.749 3.749 8.681
angles (deg): 90.00 90.00 90.00
Space group I4/mmm (No. 139)
Asymmetric unit:
B  0.000  0.000  0.101 (multiplicity 4)
Ru  0.000  0.000  0.500 (multiplicity 2)
Pt  0.000  0.500  0.250 (multiplicity 4)



*ii*
The following is a DFT calculation (PBE) of B2RuPt2 after structural relaxation.

a b c (Å): 6.288 6.288 2.929
angles (deg): 90.00 90.00 90.00
Space group P4/mbm (No. 127)
Asymmetric unit:
B  0.157  0.343  0.000 (multiplicity 4)
Ru  0.000  0.000  0.000 (multiplicity 2)
Pt  0.156  0.656  0.500 (multiplicity 4)



The structure with the least stability is *i*.